# Cs2Cd3Hg12Bi (PBE, relaxed)
# Uncorrected energy: -13.24 eV per cell
# Fermi-level density of states: 6.49 states/eV/cell
data_Cs2Cd3Hg12Bi
_chemical_formula_sum 'Cs2 Cd3 Hg12 Bi1'
_symmetry_space_group_name_H-M 'P 1'
_symmetry_Int_Tables_number 1
_symmetry_space_group_name_Hall 'P 1'
_cell_length_a 13.9207
_cell_length_b 13.9207
_cell_length_c 13.9207
_cell_angle_alpha 29.44
_cell_angle_beta 29.44
_cell_angle_gamma 29.44
loop_
_atom_site_label
_atom_site_type_symbol
_atom_site_fract_x
_atom_site_fract_y
_atom_site_fract_z
Cs1 Cs 0.1430 0.1430 0.1430
Cs2 Cs 0.8570 0.8570 0.8570
Cd1 Cd 0.0000 0.5000 0.5000
Cd2 Cd 0.5000 0.0000 0.5000
Cd3 Cd 0.5000 0.5000 0.0000
Hg1 Hg 0.0939 0.0939 0.6634
Hg2 Hg 0.0939 0.6634 0.0939
Hg3 Hg 0.1008 0.6044 0.6044
Hg4 Hg 0.3366 0.9061 0.9061
Hg5 Hg 0.3956 0.3956 0.8992
Hg6 Hg 0.3956 0.8992 0.3956
Hg7 Hg 0.6044 0.1008 0.6044
Hg8 Hg 0.6044 0.6044 0.1008
Hg9 Hg 0.6634 0.0939 0.0939
Hg10 Hg 0.8992 0.3956 0.3956
Hg11 Hg 0.9061 0.3366 0.9061
Hg12 Hg 0.9061 0.9061 0.3366
Bi1 Bi 0.5000 0.5000 0.5000